[1]
Computed, not measured: a geometry-optimized LiTaAs2 structure at the PBE level of DFT.

Cell: 7.3442 7.3442 7.3442 Å, 27.56 27.56 27.56°
Last column: nearest neighbours and their distance in Å.
Fractional coordinates of all 4 atoms:
As (0.0034, 0.0034, 0.0034)  3 Ta 2.64, 3 Li 2.73
As (0.4966, 0.4966, 0.4966)  3 Ta 2.64, 3 Li 2.73
Li (0.2500, 0.2500, 0.2500)  6 As 2.73
Ta (0.7500, 0.7500, 0.7500)  6 As 2.64

Calculated values
energy of formation from the pure elements: -0.435 eV/atom
symmetry: R-3m, No. 166



[2]
Computed, not measured: a geometry-optimized GdEr2Zr structure at the PBE level of DFT.

Cell: 5.4618 5.4618 5.4618 Å, 60.00 60.00 60.00°
Last column: nearest neighbours and their distance in Å.
Fractional coordinates of all 4 atoms:
Gd (0.0000, 0.0000, 0.0000)  8 Er 3.34
Zr (0.5000, 0.5000, 0.5000)  8 Er 3.34
Er (0.2500, 0.2500, 0.2500)  4 Zr 3.34, 4 Gd 3.34
Er (0.7500, 0.7500, 0.7500)  4 Zr 3.34, 4 Gd 3.34

Calculated values
energy of formation from the pure elements: 0.201 eV/atom
symmetry: Fm-3m, No. 225



[3]
Computed, not measured: a geometry-optimized SrCaSm2S4 structure at the PBE level of DFT.

Cell: 4.0466 7.1478 7.0052 Å, 70.92 90.00 90.00°
Last column: nearest neighbours and their distance in Å.
Fractional coordinates of all 8 atoms:
Sr (0.5000, 0.5000, 0.0000)  6 S 2.93
Ca (0.0000, 0.5000, 0.5000)  6 S 2.88
Sm (0.0000, 0.0000, 0.0000)  6 S 2.88-2.89
Sm (0.5000, 0.0000, 0.5000)  6 S 2.83
S (0.0000, 0.7583, 0.7415)  3 Sm 2.83-2.88, 1 Ca 2.88, 2 Sr 2.93
S (0.0000, 0.2417, 0.2585)  3 Sm 2.83-2.88, 1 Ca 2.88, 2 Sr 2.93
S (0.5000, 0.7533, 0.2550)  3 Sm 2.83-2.89, 2 Ca 2.88, 1 Sr 2.93
S (0.5000, 0.2467, 0.7449)  3 Sm 2.83-2.89, 2 Ca 2.88, 1 Sr 2.93

Calculated values
symmetry: P2/m, No. 10
energy relative to the elements, uncorrected: -198 kJ per mole of atoms



[4]
Computed, not measured: a geometry-optimized CeMnH6 structure at the PBE level of DFT.

Cell: 5.3447 5.3447 5.3447 Å, 60.00 60.00 60.00°
Last column: nearest neighbours and their distance in Å.
Fractional coordinates of all 8 atoms:
Ce (0.5000, 0.5000, 0.5000)  6 H 2.18
Mn (0.0000, 0.0000, 0.0000)  6 H 1.60
H (0.7881, 0.7881, 0.2119)  1 Mn 1.60
H (0.7881, 0.2119, 0.2119)  1 Mn 1.60
H (0.2119, 0.7881, 0.7881)  1 Mn 1.60
H (0.2119, 0.2119, 0.7881)  1 Mn 1.60
H (0.2119, 0.7881, 0.2119)  1 Mn 1.60
H (0.7881, 0.2119, 0.7881)  1 Mn 1.60

Calculated values
E_tot: -4.328 eV per atom
symmetry: Fm-3m, No. 225



[5]
Computed, not measured: a geometry-optimized ScIr2Au structure at the PBE level of DFT.

Cell: 2.8226 2.8226 9.1460 Å, 90.00 90.00 114.19°
Last column: nearest neighbours and their distance in Å.
Fractional coordinates of all 4 atoms:
Au (0.5000, 0.5000, 0.7500)  6 Au 2.82-3.07, 4 Ir 2.89
Ir (0.0000, 0.0000, 0.0180)  2 Sc 2.62, 4 Ir 2.82, 2 Au 2.89
Ir (0.0000, 0.0000, 0.4820)  2 Sc 2.62, 4 Ir 2.82, 2 Au 2.89
Sc (0.5000, 0.5000, 0.2500)  4 Ir 2.62, 4 Sc 2.82

Calculated values
energy of formation from the pure elements: -0.115 eV/atom
symmetry: Cmmm, No. 65



[6]
Computed, not measured: a geometry-optimized CaFeSe4 structure at the PBE level of DFT.

Cell: 5.7718 5.7718 5.7718 Å, 60.00 60.00 60.00°
Last column: nearest neighbours and their distance in Å.
Fractional coordinates of all 6 atoms:
Ca (0.7500, 0.7500, 0.7500)  12 Se 3.39, 4 Fe 3.53
Fe (0.0000, 0.0000, 0.0000)  12 Se 3.38, 4 Ca 3.53
Se (0.8781, 0.3740, 0.3740)  6 Se 2.86-2.91
Se (0.3740, 0.3740, 0.8781)  6 Se 2.86-2.91
Se (0.3740, 0.8781, 0.3740)  6 Se 2.86-2.91
Se (0.3740, 0.3740, 0.3740)  6 Se 2.86-2.91

Calculated values
symmetry: F-43m, No. 216
energy relative to the elements, uncorrected: 29 kJ per mole of atoms



[7]
Computed, not measured: a geometry-optimized AlZnSi structure at the PBE level of DFT.

Cell: 5.9784 5.9784 5.9784 Å, 152.07 152.07 39.92°
Last column: nearest neighbours and their distance in Å.
Fractional coordinates of all 3 atoms:
Zn (0.6682, 0.6682, 0.0000)  4 Si 2.76, 4 Al 2.80, 4 Zn 2.89
Si (0.3339, 0.3339, 0.0000)  4 Al 2.75, 4 Zn 2.76, 4 Si 2.89
Al (0.9979, 0.9979, 0.0000)  4 Si 2.75, 4 Zn 2.80, 4 Al 2.89

Calculated values
symmetry: I4mm, No. 107
energy relative to the elements, uncorrected: 20 kJ per mole of atoms



[8]
Computed, not measured: a geometry-optimized CaCdNi2Se structure at the PBE level of DFT.

Cell: 4.6958 5.2914 4.6958 Å, 90.00 90.00 90.00°
Last column: nearest neighbours and their distance in Å.
Fractional coordinates of all 5 atoms:
Ni (0.0000, 0.0000, 0.5000)  2 Ca 2.35
Ni (0.5000, 0.0000, 0.0000)  2 Ca 2.35
Ca (0.0000, 0.0000, 0.0000)  4 Ni 2.35
Se (0.0000, 0.5000, 0.0000)  2 Ca 2.65
Cd (0.5000, 0.5000, 0.5000)  4 Se 3.32, 8 Ni 3.54

Calculated values
symmetry: P4/mmm, No. 123
energy relative to the elements, uncorrected: 86 kJ per mole of atoms



[9]
Computed, not measured: a geometry-optimized BaMgIn2Ge structure at the PBE level of DFT.

Cell: 4.8026 4.8160 6.9944 Å, 110.14 110.08 90.00°
Last column: nearest neighbours and their distance in Å.
Fractional coordinates of all 5 atoms:
Ba (0.4371, 0.4371, 0.8742)  4 Ge 3.65-3.66, 8 In 3.69-3.96, 4 Mg 3.78-3.99
Mg (0.1983, 0.6983, 0.3965)  2 Ge 2.87, 2 In 2.98
In (0.6943, 0.1943, 0.3886)  2 Ge 2.91, 2 In 2.94
In (0.0549, 0.0549, 0.1098)  1 Ge 2.78, 2 In 2.94, 2 Mg 2.98
Ge (0.8275, 0.8275, 0.6551)  3 In 2.78-2.91, 2 Mg 2.87

Calculated values
energy of formation from the pure elements: -0.365 eV/atom
symmetry: Imm2, No. 44



[10]
Computed, not measured: a geometry-optimized BeB2W2 structure at the PBE level of DFT.

Cell: 4.1562 4.1562 4.7443 Å, 64.02 64.02 90.00°
Last column: nearest neighbours and their distance in Å.
Fractional coordinates of all 5 atoms:
Be (0.0000, 0.0000, 0.0000)  2 W 2.39
B (0.7500, 0.2500, 0.5000)  4 W 2.14
B (0.2500, 0.7500, 0.5000)  4 W 2.14
W (0.3208, 0.3208, 0.3583)  4 B 2.14, 1 Be 2.39
W (0.6792, 0.6792, 0.6417)  4 B 2.14, 1 Be 2.39

Calculated values
energy of formation from the pure elements: 0.563 eV/atom
symmetry: I4/mmm, No. 139



[11]
Computed, not measured: a geometry-optimized BiSe3Br structure at the PBE level of DFT.

Cell: 5.1754 5.1754 5.1754 Å, 90.00 90.00 90.00°
Last column: nearest neighbours and their distance in Å.
Fractional coordinates of all 5 atoms:
Se (0.0000, 0.5000, 0.0000)  2 Br 2.59
Se (0.0000, 0.0000, 0.5000)  2 Br 2.59
Se (0.5000, 0.0000, 0.0000)  2 Br 2.59
Bi (0.5000, 0.5000, 0.5000)  12 Se 3.66
Br (0.0000, 0.0000, 0.0000)  6 Se 2.59

Calculated values
symmetry: Pm-3m, No. 221
energy relative to the elements, uncorrected: 64 kJ per mole of atoms



[12]
Computed, not measured: a geometry-optimized KCaTl3 structure at the PBE level of DFT.

Cell: 6.0421 6.0421 6.0421 Å, 90.00 90.00 90.00°
Last column: nearest neighbours and their distance in Å.
Fractional coordinates of all 5 atoms:
K (0.5000, 0.5000, 0.5000)  12 Tl 4.27
Tl (0.0000, 0.5000, 0.0000)  2 Ca 3.02
Tl (0.0000, 0.0000, 0.5000)  2 Ca 3.02
Tl (0.5000, 0.0000, 0.0000)  2 Ca 3.02
Ca (0.0000, 0.0000, 0.0000)  6 Tl 3.02

Calculated values
energy of formation from the pure elements: 0.153 eV/atom
symmetry: Pm-3m, No. 221



- What is the formula in the eleventh record?
  BiSe3Br